Entry 1:
NaEuCl after structural relaxation. Source: Alexandria via LeMat-Bulk, functional PBE.

As for the size of the total moment: 7.6 μB per cell. Its density of states at the Fermi level is 2.2 states/eV/cell. The calculation puts the raw formation energy at -306 kJ/mol of formula units.

The structure belongs to space group P3m1 (No. 156); the cell edges are 3.9363, 3.9363 and 7.2329 Å and the angles 90.00°, 90.00° and 120.00°. Symmetry generates all atoms from Na at (0.0000, 0.0000, 0.0000), Eu at (0.3333, 0.6667, 0.5570) and Cl at (0.6667, 0.3333, 0.2813).



Entry 2:
Na5Eu3Cl12 after structural relaxation. Source: Alexandria via LeMat-Bulk, functional PBE.

As for the size of the total moment: 160.0 μB per cell. Its density of states at the Fermi level is 386.0 states/eV/cell. The calculation puts the raw formation energy at -3833 kJ/mol of formula units.

The structure belongs to space group Ia-3d (No. 230); the cell edges are 16.373, 16.373 and 16.373 Å and the angles 90.00°, 90.00° and 90.00°. Symmetry generates all atoms from Na at (0.000, 0.000, 0.000), Na at (0.000, 0.250, 0.375), Eu at (0.000, 0.250, 0.125) and Cl at (0.021, 0.070, 0.654).



Entry 3:
Na2EuCl4 after structural relaxation. Source: Alexandria via LeMat-Bulk, functional PBE.

As for the size of the total moment: 14.0 μB per cell. Its density of states at the Fermi level is 29.0 states/eV/cell. The calculation puts the raw formation energy at -1257 kJ/mol of formula units.

The structure belongs to space group I4/mmm (No. 139); the cell edges are 5.596, 5.596 and 14.870 Å and the angles 90.00°, 90.00° and 90.00°. Symmetry generates all atoms from Na at (0.000, 0.000, 0.139), Eu at (0.000, 0.000, 0.500), Cl at (0.000, 0.000, 0.313) and Cl at (0.000, 0.500, 0.000).



Entry 4:
NaEu2Cl6 after structural relaxation. Source: Alexandria via LeMat-Bulk, functional PBE.

As for the size of the total moment: 39.0 μB per cell. Its density of states at the Fermi level is 93.1 states/eV/cell. The calculation puts the raw formation energy at -1833 kJ/mol of formula units.

The structure belongs to space group P3 (No. 143); the cell edges are 13.1824, 13.1824 and 4.3497 Å and the angles 90.00°, 90.00° and 120.00°. Symmetry generates all atoms from Na at (0.0000, 0.0000, 0.0000), Na at (0.3333, 0.6667, 0.4984), Na at (0.6667, 0.3333, 0.2571), Eu at (0.0004, 0.3327, 0.7488), Eu at (0.9999, 0.6669, 0.2490), Cl at (0.0721, 0.8428, 0.7509), Cl at (0.1042, 0.5946, 0.7481), Cl at (0.1764, 0.4361, 0.2509), Cl at (0.2301, 0.0730, 0.2479), Cl at (0.4396, 0.2616, 0.7474) and Cl at (0.5062, 0.0986, 0.2477).



Entry 5:
NdEu3Cl after structural relaxation. Source: Alexandria via LeMat-Bulk, functional PBE.

As for the size of the total moment: 23.5 μB per cell. Its density of states at the Fermi level is 6.9 states/eV/cell. The calculation puts the raw formation energy at -246 kJ/mol of formula units.

The structure belongs to space group Pm-3m (No. 221); the cell edges are 5.704, 5.704 and 5.704 Å and the angles 90.00°, 90.00° and 90.00°. Symmetry generates all atoms from Nd at (0.000, 0.000, 0.000), Eu at (0.000, 0.500, 0.500) and Cl at (0.500, 0.500, 0.500).



Entry 6:
NdEuCl2 after structural relaxation. Source: Alexandria via LeMat-Bulk, functional PBE.

As for the size of the total moment: 23.2 μB per cell. Its density of states at the Fermi level is 8.7 states/eV/cell. The calculation puts the raw formation energy at -554 kJ/mol of formula units.

The structure belongs to space group R-3m (No. 166, hexagonal axes); the cell edges are 3.8559, 3.8559 and 28.6939 Å and the angles 90.00°, 90.00° and 120.00°. Symmetry generates all atoms from Nd at (0.0000, 0.0000, 0.0000), Eu at (0.0000, 0.0000, 0.5000) and Cl at (0.0000, 0.0000, 0.0989).



Entry 7:
NdEuSbCl after structural relaxation. Source: Alexandria via LeMat-Bulk, functional PBE.

As for the size of the total moment: 31.6 μB per cell. Its density of states at the Fermi level is 5.9 states/eV/cell. The calculation puts the raw formation energy at -489 kJ/mol of formula units.

The structure belongs to space group F-43m (No. 216); the cell edges are 7.655, 7.655 and 7.655 Å and the angles 90.00°, 90.00° and 90.00°. Symmetry generates all atoms from Nd at (0.000, 0.000, 0.000), Eu at (0.000, 0.000, 0.500), Sb at (0.250, 0.250, 0.750) and Cl at (0.250, 0.250, 0.250).



Entry 8:
Eu2NiCl after structural relaxation. Source: Alexandria via LeMat-Bulk, functional PBE.

As for the size of the total moment: 43.2 μB per cell. Its density of states at the Fermi level is 53.4 states/eV/cell. The calculation puts the raw formation energy at -342 kJ/mol of formula units. The value obtained for the distance to the lowest polymorph of the same formula is 0.00 eV/f.u.

The structure belongs to space group R-3m (No. 166, hexagonal axes); the cell edges are 4.0497, 4.0497 and 22.5831 Å and the angles 90.00°, 90.00° and 120.00°. Symmetry generates all atoms from Eu at (0.0000, 0.0000, 0.2393), Ni at (0.0000, 0.0000, 0.5000) and Cl at (0.0000, 0.0000, 0.0000).



Entry 9:
Eu2NiCl after structural relaxation. Source: Alexandria via LeMat-Bulk, functional PBE.

As for the size of the total moment: 14.5 μB per cell. Its density of states at the Fermi level is 10.4 states/eV/cell. The calculation puts the raw formation energy at -318 kJ/mol of formula units. The value obtained for the distance to the lowest polymorph of the same formula is 0.25 eV/f.u.

The structure belongs to space group P4/mmm (No. 123); the cell edges are 3.515, 3.515 and 7.785 Å and the angles 90.00°, 90.00° and 90.00°. Symmetry generates all atoms from Eu at (0.000, 0.000, 0.223), Ni at (0.500, 0.500, 0.000) and Cl at (0.500, 0.500, 0.500).



Entry 10:
EuClO2 after structural relaxation. Source: Alexandria via LeMat-Bulk, functional PBE.

As for the size of the total moment: 8.0 μB per cell. Its density of states at the Fermi level is 9.2 states/eV/cell. The calculation puts the raw formation energy at -515 kJ/mol of formula units.

The structure belongs to space group P2_1/m (No. 11); the cell edges are 6.280, 3.745 and 6.553 Å and the angles 90.00°, 113.65° and 90.00°. Symmetry generates all atoms from Eu at (0.184, 0.250, 0.364), Cl at (0.253, 0.750, 0.042), O at (0.052, 0.250, 0.651) and O at (0.404, 0.750, 0.556).



Entry 11:
Eu2ClO after structural relaxation. Source: Alexandria via LeMat-Bulk, functional PBE.

As for the size of the total moment: 44.2 μB per cell. Its density of states at the Fermi level is 4.1 states/eV/cell. The calculation puts the raw formation energy at -840 kJ/mol of formula units.

The structure belongs to space group R-3m (No. 166, hexagonal axes); the cell edges are 3.7362, 3.7362 and 20.9412 Å and the angles 90.00°, 90.00° and 120.00°. Symmetry generates all atoms from Eu at (0.0000, 0.0000, 0.2311), Cl at (0.0000, 0.0000, 0.0000) and O at (0.0000, 0.0000, 0.5000).



Entry 12:
Eu2SiCl2O3 after structural relaxation. Source: Alexandria via LeMat-Bulk, functional PBE.

As for the size of the total moment: 112.0 μB per cell. The calculation puts the raw formation energy at -2116 kJ/mol of formula units.

The structure belongs to space group I4/m (No. 87); the cell edges are 11.210, 11.210 and 9.647 Å and the angles 90.00°, 90.00° and 90.00°. Symmetry generates all atoms from Eu at (0.081, 0.750, 0.227), Si at (0.098, 0.183, 0.500), Cl at (0.000, 0.000, 0.204), Cl at (0.000, 0.500, 0.250), Cl at (0.095, 0.252, 0.000), O at (0.050, 0.834, 0.500) and O at (0.130, 0.246, 0.354).



Look up the raw formation energy of the seventh one. -489 kJ/mol of formula units



Repeat the seventh record exactly.
NdEuSbCl after structural relaxation. Source: Alexandria via LeMat-Bulk, functional PBE.

As for the size of the total moment: 31.6 μB per cell. Its density of states at the Fermi level is 5.9 states/eV/cell. The calculation puts the raw formation energy at -489 kJ/mol of formula units.

The structure belongs to space group F-43m (No. 216); the cell edges are 7.655, 7.655 and 7.655 Å and the angles 90.00°, 90.00° and 90.00°. Symmetry generates all atoms from Nd at (0.000, 0.000, 0.000), Eu at (0.000, 0.000, 0.500), Sb at (0.250, 0.250, 0.750) and Cl at (0.250, 0.250, 0.250).